Here is a geometry-optimized Nd2TcC2 structure from the Alexandria database. Energies are from PBE-GGA.

The raw total energy is -157.2 eV per cell. The calculation puts the spin magnetization at 0.00 μB per cell. The energy of formation from the pure elements is -0.189 eV/atom. As for the crystal system: monoclinic.

It has space group C2/m (No. 12), with a = 11.507 Å, b = 5.367 Å, c = 6.863 Å, α = 90.00°, β = 119.82° and γ = 90.00°. The distinct sites, in fractional coordinates, are Nd at (0.034, 0.000, 0.284), Nd at (0.181, 0.500, 0.128), Tc at (0.136, 0.500, 0.631), C at (0.006, 0.500, 0.285) and C at (0.184, 0.000, 0.117).


Here is a geometry-optimized LiPmLuSc structure from the Alexandria database. Energies are from PBE-GGA.

The raw total energy is -67.6 eV per cell. The calculation puts the spin magnetization at 0.00 μB per cell. The energy of formation from the pure elements is 0.156 eV/atom. As for the crystal system: cubic.

It has space group F-43m (No. 216), with a = 7.559 Å, b = 7.559 Å, c = 7.559 Å, α = 90.00°, β = 90.00° and γ = 90.00°. The distinct sites, in fractional coordinates, are Li at (0.000, 0.000, 0.000), Pm at (0.250, 0.250, 0.250), Lu at (0.250, 0.250, 0.750) and Sc at (0.000, 0.000, 0.500).


Here is a geometry-optimized ScZn3Au structure from the Alexandria database. Energies are from PBE-GGA.

The raw total energy is -9.0 eV per cell. The calculation puts the spin magnetization at 0.00 μB per cell. The energy of formation from the pure elements is 0.895 eV/atom. As for the crystal system: cubic.

It has space group Pm-3m (No. 221), with a = 5.227 Å, b = 5.227 Å, c = 5.227 Å, α = 90.00°, β = 90.00° and γ = 90.00°. The distinct sites, in fractional coordinates, are Sc at (0.000, 0.000, 0.000), Zn at (0.000, 0.000, 0.500) and Au at (0.500, 0.500, 0.500).


Here is a geometry-optimized RuPtO3 structure from the Alexandria database. Energies are from PBE-GGA.

The raw total energy is -29.5 eV per cell. The calculation puts the spin magnetization at 0.00 μB per cell. As for the formation energy without anion corrections: 0.74 eV/f.u. As for the crystal system: cubic.

It has space group Pm-3m (No. 221), with a = 3.853 Å, b = 3.853 Å, c = 3.853 Å, α = 90.00°, β = 90.00° and γ = 90.00°. The distinct sites, in fractional coordinates, are Ru at (0.000, 0.000, 0.000), Pt at (0.500, 0.500, 0.500) and O at (0.000, 0.000, 0.500).


Here is a geometry-optimized LaNi3P2 structure from the Alexandria database. Energies are from PBE-GGA.

The raw total energy is -113.7 eV per cell. The calculation puts the spin magnetization at 0.00 μB per cell. The energy of formation from the pure elements is -0.800 eV/atom. As for the crystal system: hexagonal.

It has space group P6/mmm (No. 191), with a = 9.0471 Å, b = 9.0471 Å, c = 3.6832 Å, α = 90.00°, β = 90.00° and γ = 120.00°. The distinct sites, in fractional coordinates, are La at (0.0000, 0.0000, 0.0000), La at (0.3333, 0.6667, 0.5000), Ni at (0.0000, 0.2848, 0.5000), Ni at (0.0000, 0.5000, 0.0000) and P at (0.1896, 0.3792, 0.0000).


Here is a geometry-optimized Pm4PdO7 structure from the Alexandria database. Energies are from PBE-GGA.

The raw total energy is -187.1 eV per cell. The calculation puts the spin magnetization at 0.00 μB per cell. As for the formation energy without anion corrections: -34.64 eV/f.u. As for the crystal system: monoclinic.

It has space group C2/m (No. 12), with a = 13.039 Å, b = 4.024 Å, c = 9.258 Å, α = 90.00°, β = 133.35° and γ = 90.00°. The distinct sites, in fractional coordinates, are Pm at (0.087, 0.000, 0.397), Pm at (0.248, 0.000, 0.159), Pd at (0.000, 0.500, 0.000), O at (0.000, 0.000, 0.000), O at (0.092, 0.500, 0.889), O at (0.133, 0.000, 0.694) and O at (0.203, 0.500, 0.553).